# LiAlCoO3 (meta-GGA SCAN, PBEsol geometry)
# V in Å³ per cell: 117.5
# Formation energy (no corrections) in eV/atom: -2.28
# Final energy in eV per atom: -9.970
# Total magnetic moment in μB per formula unit: 3.00
# Calculated density in Mg/m³: 3.98
data_LiAlCoO3
_chemical_formula_sum 'Li2 Al2 Co2 O6'
_cell_length_a 5.223
_cell_length_b 5.245
_cell_length_c 5.252
_cell_angle_alpha 67.57
_cell_angle_beta 65.88
_cell_angle_gamma 68.41
_space_group_name_H-M_alt 'P -1'
_space_group_IT_number 2
loop_
_space_group_symop_operation_xyz
'x,y,z'
'-x,-y,-z'
loop_
_atom_site_label
_atom_site_fract_x
_atom_site_fract_y
_atom_site_fract_z
Li1 0.074 0.420 0.245
Al1 0.241 0.921 0.083
Co1 0.447 0.722 0.573
O1 0.078 0.783 0.911
O2 0.243 0.613 0.388
O3 0.426 0.077 0.226